[1]
# TbSClO4

A relaxed TbSClO4 crystal (PBE, the Alexandria database).

Values from the calculation:
calculated volume: 15.19 Å³/atom
ΔE_f (raw): -2154 meV per atom
crystal system: monoclinic

Unit cell a=5.9938 b=5.9938 c=6.4423 alpha=78.76 beta=78.76 gamma=71.14
Last column: nearest neighbours and their distance in Å.
Sites, in units of the cell vectors:
O 0.1473 0.4845 0.1506  1 S 1.52
O 0.2889 0.2889 0.4912  1 S 1.46
O 0.4845 0.1473 0.1506  1 S 1.52
O 0.7111 0.7111 0.5088  1 S 1.46
O 0.5164 0.5164 0.2371  1 S 1.46
O 0.8527 0.5155 0.8494  1 S 1.52
O 0.4836 0.4836 0.7629  1 S 1.46
O 0.5155 0.8527 0.8494  1 S 1.52
Cl 0.0214 0.0214 0.2383  2 Tb 2.66-2.74
Cl 0.9786 0.9786 0.7617  2 Tb 2.66-2.74
S 0.3636 0.3636 0.2654  4 O 1.46-1.52
S 0.6364 0.6364 0.7346  4 O 1.46-1.52
Tb 0.2266 0.2266 0.8648  6 O 2.34-2.51
Tb 0.7734 0.7734 0.1352  6 O 2.34-2.51

[2]
# SiSbRu2

A relaxed SiSbRu2 crystal (PBE, the Alexandria database).

Values from the calculation:
calculated volume: 16.79 Å³/atom
ΔE_f (raw): 237 meV per atom
crystal system: trigonal

Unit cell a=8.2111 b=8.2111 c=8.2111 alpha=21.84 beta=21.84 gamma=21.84
Last column: nearest neighbours and their distance in Å.
Sites, in units of the cell vectors:
Sb 0.5036 0.5036 0.5036  3 Ru 2.62
Ru 0.2496 0.2496 0.2496  3 Sb 2.62, 3 Ru 2.85
Ru 0.0082 0.0082 0.0082  3 Si 2.36
Si 0.7387 0.7387 0.7387  3 Ru 2.36

[3]
# Pa2SbW

A relaxed Pa2SbW crystal (PBE, the Alexandria database).

Values from the calculation:
calculated volume: 22.14 Å³/atom
ΔE_f (raw): -4 meV per atom
crystal system: tetragonal

Unit cell a=4.4400 b=4.4665 c=4.4665 alpha=90.00 beta=90.00 gamma=90.00
Last column: nearest neighbours and their distance in Å.
Sites, in units of the cell vectors:
Sb 0.5000 0.5000 0.5000  8 Pa 3.15, 4 W 3.16
Pa 0.0000 0.0000 0.5000  4 Sb 3.15, 4 W 3.15, 4 Pa 3.16
Pa 0.0000 0.5000 0.0000  4 Sb 3.15, 4 W 3.15, 4 Pa 3.16
W 0.5000 0.0000 0.0000  8 Pa 3.15, 4 Sb 3.16

[4]
# Be2CdAs

A relaxed Be2CdAs crystal (PBE, the Alexandria database).

Values from the calculation:
ΔH_f (0 K): 46.55 kJ/mol of atoms
calculated volume: 15.06 Å³/atom
crystal system: tetragonal

Unit cell a=3.2164 b=3.2164 c=5.8224 alpha=90.00 beta=90.00 gamma=90.03
Last column: nearest neighbours and their distance in Å.
Sites, in units of the cell vectors:
Cd 0.5000 0.5000 0.2500  2 As 2.91, 8 Be 2.91, 4 Cd 3.22
Be 0.0000 0.0000 0.9374  1 Be 2.18
Be 0.0000 0.0000 0.5626  1 Be 2.18
As 0.5000 0.5000 0.7500  8 Be 2.52

[5]
# NdDyRu

A relaxed NdDyRu crystal (PBE, the Alexandria database).

Values from the calculation:
ΔH_f (0 K): -23.27 kJ/mol of atoms
calculated volume: 26.45 Å³/atom
crystal system: tetragonal

Unit cell a=3.4494 b=3.4494 c=7.1011 alpha=104.06 beta=104.06 gamma=90.00
Last column: nearest neighbours and their distance in Å.
Sites, in units of the cell vectors:
Ru 0.6711 0.6711 0.3422  4 Dy 2.91, 4 Nd 3.01
Nd 0.0385 0.0385 0.0770  4 Ru 3.01, 1 Dy 3.36
Dy 0.2904 0.2904 0.5808  4 Ru 2.91

[6]
# MgTcP2

A relaxed MgTcP2 crystal (PBE, the Alexandria database).

Values from the calculation:
ΔH_f (0 K): -13.12 kJ/mol of atoms
calculated volume: 15.03 Å³/atom
crystal system: tetragonal

Unit cell a=3.1723 b=3.1723 c=5.9744 alpha=90.00 beta=90.00 gamma=90.00
Last column: nearest neighbours and their distance in Å.
Sites, in units of the cell vectors:
P 0.5000 0.5000 0.2804  4 Tc 2.42
P 0.0000 0.0000 0.0190  1 Tc 2.47, 4 Mg 2.70, 4 P 2.73
Tc 0.0000 0.0000 0.4323  5 P 2.42-2.47
Mg 0.5000 0.5000 0.7683  5 P 2.70-2.92, 4 Tc 3.01

[7]
# Ce3Pm2TmTe6

A relaxed Ce3Pm2TmTe6 crystal (PBE, the Alexandria database).

Values from the calculation:
calculated volume: 31.22 Å³/atom
ΔE_f (raw): -1358 meV per atom
crystal system: monoclinic

Unit cell a=4.4156 b=8.9820 c=9.9802 alpha=103.62 beta=102.78 gamma=90.00
Last column: nearest neighbours and their distance in Å.
Sites, in units of the cell vectors:
Pm 0.1678 0.3355 0.3357  6 Te 3.13-3.18
Pm 0.8322 0.6645 0.6643  6 Te 3.13-3.18
Te 0.0006 0.7617 0.0012  2 Tm 3.08, 1 Pm 3.18, 3 Ce 3.20-3.22
Te 0.9994 0.2383 0.9988  2 Tm 3.08, 1 Pm 3.18, 3 Ce 3.20-3.22
Te 0.6666 0.5826 0.3331  3 Pm 3.13, 3 Ce 3.15
Te 0.3388 0.9176 0.6776  1 Tm 3.05, 2 Pm 3.15, 3 Ce 3.17-3.19
Te 0.3334 0.4174 0.6669  3 Pm 3.13, 3 Ce 3.15
Te 0.6612 0.0824 0.3224  1 Tm 3.05, 2 Pm 3.15, 3 Ce 3.17-3.19
Ce 0.8300 0.1651 0.6600  6 Te 3.15-3.20
Ce 0.5000 0.5000 0.0000  6 Te 3.15-3.22
Ce 0.1700 0.8349 0.3400  6 Te 3.15-3.20
Tm 0.5000 0.0000 0.0000  6 Te 3.05-3.08

[8]
# PmBCl

A relaxed PmBCl crystal (PBE, the Alexandria database).

Values from the calculation:
calculated volume: 21.26 Å³/atom
ΔE_f (raw): -1186 meV per atom
crystal system: monoclinic

Unit cell a=3.2898 b=3.7067 c=11.2099 alpha=99.52 beta=71.42 gamma=90.00
Last column: nearest neighbours and their distance in Å.
Sites, in units of the cell vectors:
Pm 0.9340 0.4153 0.8306  6 B 2.67-2.96, 4 Cl 2.97
Pm 0.0660 0.5847 0.1694  6 B 2.67-2.96, 4 Cl 2.97
B 0.7345 0.0071 0.0143  2 B 1.67
B 0.2655 0.9929 0.9857  2 B 1.67
Cl 0.3965 0.1627 0.3254  4 Pm 2.97, 1 B 3.26, 2 Cl 3.29
Cl 0.6035 0.8373 0.6746  4 Pm 2.97, 1 B 3.26, 2 Cl 3.29

[9]
# Cd2CuRh

A relaxed Cd2CuRh crystal (PBE, the Alexandria database).

Values from the calculation:
ΔH_f (0 K): -4.12 kJ/mol of atoms
calculated volume: 16.67 Å³/atom
crystal system: tetragonal

Unit cell a=4.8112 b=4.8112 c=4.8112 alpha=128.29 beta=128.30 gamma=76.15
Last column: nearest neighbours and their distance in Å.
Sites, in units of the cell vectors:
Cu 0.7500 0.2500 0.5000  8 Cd 2.83, 4 Rh 2.97
Rh 0.2500 0.7500 0.5000  8 Cd 2.83, 4 Cu 2.97
Cd 0.4999 0.4999 0.0000  4 Cu 2.83, 4 Rh 2.83, 4 Cd 2.97
Cd 0.0001 0.0001 0.0000  4 Cu 2.83, 4 Rh 2.83, 4 Cd 2.97

[10]
# Li2Pr2ErSn2

A relaxed Li2Pr2ErSn2 crystal (PBE, the Alexandria database).

Values from the calculation:
ΔH_f (0 K): -44.20 kJ/mol of atoms
calculated volume: 26.25 Å³/atom
crystal system: trigonal

Unit cell a=4.7909 b=4.7909 c=9.6500 alpha=75.63 beta=75.63 gamma=60.00
Last column: nearest neighbours and their distance in Å.
Sites, in units of the cell vectors:
Er 0.0000 0.0000 0.0000  6 Li 3.19, 6 Sn 3.29, 2 Pr 3.52
Li 0.6093 0.6093 0.1721  3 Sn 2.77
Li 0.3907 0.3907 0.8279  3 Sn 2.77
Pr 0.8729 0.8729 0.3812  3 Sn 3.27, 3 Li 3.37, 1 Er 3.52, 3 Pr 3.53
Pr 0.1271 0.1271 0.6188  3 Sn 3.27, 3 Li 3.37, 1 Er 3.52, 3 Pr 3.53
Sn 0.2691 0.2691 0.1927  3 Li 2.77
Sn 0.7309 0.7309 0.8073  3 Li 2.77

[11]
# SrMn2HN

A relaxed SrMn2HN crystal (PBE, the Alexandria database).

Values from the calculation:
calculated volume: 15.44 Å³/atom
crystal system: tetragonal

Unit cell a=3.6115 b=5.9189 c=3.6115 alpha=90.00 beta=90.00 gamma=90.00
Last column: nearest neighbours and their distance in Å.
Sites, in units of the cell vectors:
Mn 0.5000 0.0000 0.0000  2 N 1.81
Mn 0.0000 0.0000 0.5000  2 N 1.81
N 0.0000 0.0000 0.0000  4 Mn 1.81
H 0.5000 0.5000 0.5000  4 Sr 2.55
Sr 0.0000 0.5000 0.0000  4 H 2.55

[12]
# Ca3Sb

A relaxed Ca3Sb crystal (PBE, the Alexandria database).

Values from the calculation:
calculated volume: 32.66 Å³/atom
ΔE_f (raw): -526 meV per atom
crystal system: tetragonal

Unit cell a=11.5545 b=11.5545 c=11.5545 alpha=155.68 beta=155.68 gamma=34.66
Last column: nearest neighbours and their distance in Å.
Sites, in units of the cell vectors:
Ca 0.2500 0.7500 0.5000  8 Ca 3.44-3.73
Ca 0.5000 0.0000 0.5000  4 Sb 3.42, 8 Ca 3.44-3.63
Ca 0.1218 0.1218 0.0000  4 Sb 3.45, 8 Ca 3.63-3.73
Ca 0.0000 0.5000 0.5000  4 Sb 3.42, 8 Ca 3.44-3.63
Ca 0.7500 0.2500 0.5000  8 Ca 3.44-3.73
Ca 0.8782 0.8782 0.0000  4 Sb 3.45, 8 Ca 3.63-3.73
Sb 0.3909 0.3909 0.0000  8 Ca 3.42-3.45
Sb 0.6091 0.6091 0.0000  8 Ca 3.42-3.45

Values of DFT total energy, in order: -91.0 -27.1 -36.1 -11.1 -19.4 -23.3 -66.9 -33.7 -13.4 -29.2 -31.3 -24.5, all in eV/cell.